1.
Density functional theory data (PBE) for a relaxed structure of Y2InN3.

a b c (Å): 6.128 6.128 12.275
angles (deg): 86.28 86.28 121.89
Element x y z (fractional)
Y1 0.985 0.569 0.866
Y2 0.431 0.015 0.634
Y3 0.015 0.431 0.134
Y4 0.569 0.985 0.366
Y5 0.085 0.311 0.567
Y6 0.689 0.915 0.933
Y7 0.915 0.689 0.433
Y8 0.311 0.085 0.067
In1 0.722 0.711 0.665
In2 0.289 0.278 0.835
In3 0.278 0.289 0.335
In4 0.711 0.722 0.165
N1 0.361 0.639 0.750
N2 0.639 0.361 0.250
N3 0.798 0.435 0.603
N4 0.565 0.202 0.897
N5 0.202 0.565 0.397
N6 0.435 0.798 0.103
N7 0.939 0.724 0.021
N8 0.276 0.061 0.479
N9 0.061 0.276 0.979
N10 0.724 0.939 0.521
N11 0.049 0.951 0.750
N12 0.951 0.049 0.250

Summary:
- Symmetry: C2/c (15)
- ΔE_f (raw): -0.81 eV per atom

=====

2.
Density functional theory data (PBE) for a relaxed structure of PaZnInOs.

a b c (Å): 4.804 4.804 4.804
angles (deg): 60.00 60.00 60.00
Element x y z (fractional)
Zn1 0.000 0.000 0.000
Pa1 0.250 0.250 0.250
Os1 0.500 0.500 0.500
In1 0.750 0.750 0.750

Summary:
- Symmetry: F-43m (216)
- ΔH_f (0 K): 7 meV per atom
- Fermi-level density of states: 4.01 states/eV/cell

=====

3.
Density functional theory data (PBE) for a relaxed structure of BeTlS3.

a b c (Å): 5.074 5.074 5.074
angles (deg): 90.00 90.00 90.00
Element x y z (fractional)
Be1 0.500 0.500 0.500
Tl1 0.000 0.000 0.000
S1 0.000 0.500 0.000
S2 0.000 0.000 0.500
S3 0.500 0.000 0.000

Summary:
- Symmetry: Pm-3m (221)
- Fermi-level density of states: 5.67 states/eV/cell
- ΔE_f (raw): 1.28 eV per atom

=====

4.
Density functional theory data (PBE) for a relaxed structure of PmNpSi2.

a b c (Å): 4.692 4.692 5.499
angles (deg): 64.75 64.75 60.00
Last column: magnetic moment on the atom in μB.
Element x y z (fractional)
Np1 0.500 0.500 0.500  3.58
Si1 0.761 0.761 0.718  -0.04
Si2 0.239 0.239 0.282  -0.04
Pm1 0.000 0.000 0.000  0.04

Summary:
- Symmetry: R-3m (166)
- Fermi-level density of states: 8.81 states/eV/cell
- ΔE_f (raw): -0.15 eV per atom

=====

5.
Density functional theory data (PBE) for a relaxed structure of Tb2NdSc.

a b c (Å): 3.528 3.528 11.599
angles (deg): 81.25 81.25 60.00
Element x y z (fractional)
Sc1 0.000 0.000 0.000
Nd1 0.500 0.500 0.500
Tb1 0.746 0.746 0.763
Tb2 0.254 0.254 0.237

Summary:
- Symmetry: R-3m (166)
- ΔH_f (0 K): 49 meV per atom
- Fermi-level density of states: 5.68 states/eV/cell

=====

6.
Density functional theory data (PBE) for a relaxed structure of Ac2InSb3Pd4.

a b c (Å): 4.660 4.660 11.034
angles (deg): 90.00 90.00 90.00
Element x y z (fractional)
Ac1 0.500 0.000 0.237
Ac2 0.000 0.500 0.763
In1 0.500 0.500 0.500
Sb1 0.000 0.000 0.500
Sb2 0.500 0.000 0.872
Sb3 0.000 0.500 0.128
Pd1 0.500 0.500 0.000
Pd2 0.000 0.000 0.000
Pd3 0.500 0.000 0.632
Pd4 0.000 0.500 0.368

Summary:
- Symmetry: P-4m2 (115)
- Fermi-level density of states: 5.04 states/eV/cell
- ΔE_f (raw): -0.88 eV per atom

=====

7.
Density functional theory data (PBE) for a relaxed structure of Co2RhAu.

a b c (Å): 4.690 4.690 4.589
angles (deg): 77.16 77.16 34.02
Last column: magnetic moment on the atom in μB.
Element x y z (fractional)
Au1 0.744 0.744 0.769  0.06
Co1 0.986 0.986 0.008  1.85
Co2 0.259 0.259 0.257  1.87
Rh1 0.511 0.511 0.466  0.81

Summary:
- Symmetry: Cm (8)
- ΔH_f (0 K): 169 meV per atom
- Fermi-level density of states: 4.18 states/eV/cell

=====

8.
Density functional theory data (PBE) for a relaxed structure of Ba2LiIn5.

a b c (Å): 5.068 9.819 10.471
angles (deg): 90.00 90.00 104.96
Element x y z (fractional)
Ba1 0.795 0.590 0.750
Ba2 0.205 0.410 0.250
Ba3 0.000 0.000 0.000
Ba4 0.000 0.000 0.500
Li1 0.443 0.886 0.750
Li2 0.557 0.114 0.250
In1 0.190 0.380 0.895
In2 0.810 0.620 0.105
In3 0.190 0.380 0.605
In4 0.810 0.620 0.395
In5 0.356 0.712 0.971
In6 0.644 0.288 0.029
In7 0.356 0.712 0.529
In8 0.644 0.288 0.471
In9 0.592 0.183 0.750
In10 0.408 0.817 0.250

Summary:
- Symmetry: Cmcm (63)
- ΔH_f (0 K): -362 meV per atom
- Fermi-level density of states: 7.90 states/eV/cell

=====

9.
Density functional theory data (PBE) for a relaxed structure of RbLaAgBr5.

a b c (Å): 8.194 8.194 11.047
angles (deg): 102.59 102.59 108.54
Element x y z (fractional)
Rb1 0.351 0.649 0.250
Rb2 0.649 0.351 0.750
La1 0.000 0.000 0.500
La2 0.000 0.000 0.000
Ag1 0.687 0.313 0.250
Ag2 0.313 0.687 0.750
Br1 0.084 0.916 0.250
Br2 0.916 0.084 0.750
Br3 0.914 0.315 0.105
Br4 0.086 0.685 0.895
Br5 0.685 0.086 0.395
Br6 0.315 0.914 0.605
Br7 0.745 0.625 0.438
Br8 0.255 0.375 0.562
Br9 0.375 0.255 0.062
Br10 0.625 0.745 0.938

Summary:
- Symmetry: C2/c (15)
- Fermi-level density of states: 0.00 states/eV/cell
- ΔE_f (raw): -1.52 eV per atom